{"formula": "ScPbCl5", "functional": "GGA-PBE", "state": "optimized geometry", "magnetic_moment_mub_per_fu": 0.00, "e_form_raw_ev_per_atom": -1.65, "mass_density_g_cm3": 3.322, "lattice_angstrom": [[6.712, 0.053, -1.903], [-1.131, 6.616, -1.903], [-0.192, -0.229, 9.784]], "species": ["Cl", "Cl", "Cl", "Cl", "Cl", "Cl", "Cl", "Cl", "Cl", "Cl", "Pb", "Pb", "Sc", "Sc"], "frac_coords": [[0.787, 0.891, 0.133], [0.791, 0.264, 0.955], [0.609, 0.713, 0.367], [0.227, 0.273, 0.250], [0.236, 0.709, 0.545], [0.209, 0.736, 0.045], [0.764, 0.291, 0.455], [0.391, 0.287, 0.633], [0.773, 0.727, 0.750], [0.213, 0.109, 0.867], [0.082, 0.418, 0.750], [0.918, 0.582, 0.250], [0.500, 0.500, 0.500], [0.000, 0.000, 0.000]]}



{"formula": "Pr2NdHoTm5", "functional": "GGA-PBE", "state": "optimized geometry", "magnetic_moment_mub_per_fu": 0.00, "mass_density_g_cm3": 8.183, "ef_ev_per_atom": 0.26, "lattice_angstrom": [[-4.717, 7.274, 0.532], [-4.186, -2.181, -7.292], [-0.859, -6.295, 7.550]], "species": ["Pr", "Pr", "Pr", "Pr", "Tm", "Tm", "Tm", "Tm", "Tm", "Tm", "Tm", "Tm", "Tm", "Tm", "Ho", "Ho", "Nd", "Nd"], "frac_coords": [[0.883, 0.617, 0.000], [0.117, 0.383, 0.000], [0.383, 0.883, 0.000], [0.617, 0.117, 0.000], [0.928, 0.428, 0.278], [0.649, 0.149, 0.722], [0.149, 0.072, 0.722], [0.851, 0.928, 0.278], [0.500, 0.500, 0.000], [0.428, 0.351, 0.278], [0.572, 0.649, 0.722], [0.072, 0.572, 0.722], [0.351, 0.851, 0.278], [0.000, 0.000, 0.000], [0.750, 0.250, 0.500], [0.250, 0.750, 0.500], [0.250, 0.250, 0.500], [0.750, 0.750, 0.500]]}



{"formula": "LiLaNi2", "functional": "GGA-PBE", "state": "optimized geometry", "magnetic_moment_mub_per_fu": 0.00, "mass_density_g_cm3": 5.946, "ef_ev_per_atom": -0.12, "lattice_angstrom": [[-3.649, 0.973, 1.756], [-2.103, -2.862, 2.175], [0.439, 0.765, 5.374]], "species": ["Ni", "Ni", "Li", "La"], "frac_coords": [[0.028, 0.028, 0.917], [0.697, 0.697, 0.911], [0.291, 0.291, 0.129], [0.485, 0.485, 0.544]]}



{"formula": "Pr4Dy3In", "functional": "GGA-PBE", "state": "optimized geometry", "magnetic_moment_mub_per_fu": 0.00, "mass_density_g_cm3": 7.507, "ef_ev_per_atom": -0.08, "lattice_angstrom": [[7.078, 0.000, 0.000], [0.000, 7.171, 0.000], [0.000, 0.000, 10.162]], "species": ["Dy", "Dy", "Dy", "Dy", "Dy", "Dy", "Pr", "Pr", "Pr", "Pr", "Pr", "Pr", "Pr", "Pr", "In", "In"], "frac_coords": [[0.740, 0.561, 0.750], [0.000, 0.310, 0.000], [0.000, 0.810, 0.500], [0.260, 0.061, 0.750], [0.740, 0.561, 0.250], [0.260, 0.061, 0.250], [0.249, 0.561, 0.750], [0.751, 0.061, 0.750], [0.751, 0.061, 0.250], [0.500, 0.810, 0.500], [0.999, 0.811, 0.000], [0.249, 0.561, 0.250], [0.500, 0.310, 0.000], [0.001, 0.311, 0.500], [0.500, 0.311, 0.500], [0.500, 0.811, 0.000]]}



{"formula": "PrIn2GaNi2", "functional": "GGA-PBE", "state": "optimized geometry", "magnetic_moment_mub_per_fu": 0.00, "mass_density_g_cm3": 7.559, "ef_ev_per_atom": -0.30, "lattice_angstrom": [[4.513, 0.000, 0.000], [0.000, 4.513, 0.000], [0.000, 0.000, 6.015]], "species": ["Ni", "Ni", "In", "In", "Ga", "Pr"], "frac_coords": [[0.500, 0.000, 0.000], [0.000, 0.500, 0.000], [0.500, 0.500, 0.744], [0.500, 0.500, 0.256], [0.000, 0.000, 0.000], [0.000, 0.000, 0.500]]}



{"formula": "La3SnN", "functional": "GGA-PBE", "state": "optimized geometry", "magnetic_moment_mub_per_fu": 1.02, "e_form_raw_ev_per_atom": -0.97, "mass_density_g_cm3": 6.797, "lattice_angstrom": [[7.154, 0.000, 0.000], [0.000, 6.058, 0.000], [3.577, 0.000, 6.195]], "species": ["La", "La", "La", "La", "La", "La", "N", "N", "Sn", "Sn"], "frac_coords": [[0.349, 0.635, 0.430], [0.021, 0.135, 0.101], [0.513, 0.135, 0.101], [0.350, 0.635, 0.937], [0.857, 0.635, 0.429], [0.020, 0.135, 0.594], [0.185, 0.885, 0.265], [0.185, 0.385, 0.265], [0.518, 0.135, 0.599], [0.852, 0.635, 0.932]]}



{"formula": "HfVCrMo", "functional": "GGA-PBE", "state": "optimized geometry", "magnetic_moment_mub_per_fu": 0.01, "mass_density_g_cm3": 10.180, "ef_ev_per_atom": 0.09, "lattice_angstrom": [[-2.404, -0.809, -3.634], [1.959, -1.587, -3.645], [-0.748, -4.177, -1.277]], "species": ["Hf", "Mo", "Cr", "V"], "frac_coords": [[0.500, 0.500, 0.500], [0.000, 0.000, 0.000], [0.750, 0.750, 0.750], [0.250, 0.250, 0.250]]}



{"formula": "DyPRu", "functional": "GGA-PBE", "state": "optimized geometry", "magnetic_moment_mub_per_fu": 0.00, "mass_density_g_cm3": 8.639, "ef_ev_per_atom": -0.90, "lattice_angstrom": [[-0.857, 3.886, 0.765], [0.257, -0.719, 3.943], [3.264, 1.124, -2.053]], "species": ["Ru", "Dy", "P"], "frac_coords": [[0.167, 0.333, 0.667], [0.666, 0.667, 0.333], [0.167, 0.000, 0.000]]}